# ZrSc2PtC

A geometry-optimized ZrSc2PtC structure (PBE, Alexandria).

Structure (POSCAR):
```
ZrSc2PtC
1.0
-3.2981 2.3643 -1.6611
-1.5162 -3.5619 -2.0594
-2.5740 -1.0199 3.6590
Sc C Zr Pt
2 1 1 1
direct
0.0000 0.5000 0.0000
0.5000 0.0000 0.0000
0.0000 0.0000 0.0000
0.0000 0.0000 0.5000
0.5000 0.5000 0.5000
```

Properties
Its formation enthalpy at 0 K is -3.4 eV/f.u. For the total magnetization, the calculation gives 0.000 μB per formula unit. The value obtained for the density is 7.3 g/cm3. The calculation puts the total energy at -7.975 eV per atom. Its density of states at the Fermi level is 5.8 states/eV/f.u.